Entry 1:
This record from Alexandria describes a geometry-optimized PuMg3Ge2 structure. The functional is PBE-GGA.

Cell: 4.263 8.417 8.417 Å, 66.87 75.33 75.33°
Atoms (fractional coordinates):
Mg: 0.325 0.867 0.482
Pu: 0.117 0.883 0.883
Ge: 0.791 0.709 0.709
Ge: 0.500 0.834 0.166
Mg: 0.000 0.345 0.655
Ge: 0.500 0.166 0.834
Mg: 0.000 0.655 0.345
Mg: 0.675 0.133 0.518
Mg: 0.325 0.482 0.867
Ge: 0.209 0.291 0.291
Mg: 0.675 0.518 0.133
Pu: 0.883 0.117 0.117

Results
DFT formation energy ... -0.232 eV/atom
Space group ... Immm (71)


Entry 2:
This record from Alexandria describes a geometry-optimized Pu6MgGe2 structure. The functional is PBE-GGA.

Cell: 3.135 8.860 8.860 Å, 120.00 90.00 90.00°
Atoms (fractional coordinates):
Pu: 0.500 0.000 0.341
Ge: 0.000 0.667 0.333
Pu: 0.500 0.659 0.659
Pu: 0.500 0.000 0.659
Pu: 0.500 0.341 0.341
Pu: 0.500 0.659 0.000
Pu: 0.500 0.341 0.000
Ge: 0.000 0.333 0.667
Mg: 0.000 0.000 0.000

Results
DFT formation energy ... 0.024 eV/atom
Space group ... P6/mmm (191)


Number 1: uncorrected energy -4.957 eV/atom. Number 2: uncorrected energy -10.733 eV/atom.